# 1
Zr2InAu2 | the Open Quantum Materials Database | GGA-PBE | relaxed; total moment = 0.01 μB per formula unit; E_tot = -26.98 eV/cell
1.0
-2.6376 2.7581 2.3084
-3.0463 -3.2350 0.3845
5.4074 -1.5720 3.7479
Au In Zr
2 1 2
Direct
0.6084 0.6084 0.2169 Au
0.3916 0.3916 0.7831 Au
0.0000 0.0000 0.0000 In
0.7500 0.2500 0.5000 Zr
0.2500 0.7500 0.5000 Zr

# 2
Zr2In2Au | the Open Quantum Materials Database | GGA-PBE | relaxed; total moment = 0.23 μB per formula unit; E_tot = -25.11 eV/cell
1.0
-5.8930 -4.8558 -2.0162
-7.7641 0.4681 -1.3679
7.3433 2.7091 -1.0531
Au In Zr
1 2 2
Direct
0.0000 0.0000 0.0000 Au
0.7500 0.2500 0.5000 In
0.2500 0.7500 0.5000 In
0.4114 0.4114 0.0000 Zr
0.5886 0.5886 0.0000 Zr

# 3
ZrInAu2 | the Open Quantum Materials Database | GGA-PBE | relaxed; total moment = 0.33 μB per formula unit; E_tot = -19.36 eV/cell
1.0
3.2381 0.0000 0.0000
0.0000 3.2381 0.0000
0.0000 0.0000 7.7116
Au In Zr
2 1 1
Direct
0.5000 0.5000 0.2576 Au
0.5000 0.5000 0.7424 Au
0.0000 0.0000 0.0000 In
0.0000 0.0000 0.5000 Zr

# 4
ZrInAu2 | the Open Quantum Materials Database | GGA-PBE | relaxed; total moment = 0.00 μB per formula unit; E_tot = -19.00 eV/cell
1.0
0.0000 3.3993 3.3993
3.3993 0.0000 3.3993
3.3993 3.3993 0.0000
Au In Zr
2 1 1
Direct
0.0000 0.0000 0.0000 Au
0.7500 0.7500 0.7500 Au
0.5000 0.5000 0.5000 In
0.2500 0.2500 0.2500 Zr

# 5
ZrIn2Au2 | the Open Quantum Materials Database | GGA-PBE | relaxed; total moment = 0.02 μB per formula unit; E_tot = -21.05 eV/cell
1.0
-2.0861 2.0861 6.2498
2.0861 -2.0861 6.2498
2.0861 2.0861 -6.2498
Au In Zr
2 2 1
Direct
0.3964 0.3964 0.0000 Au
0.6036 0.6036 0.0000 Au
0.7500 0.2500 0.5000 In
0.2500 0.7500 0.5000 In
0.0000 0.0000 0.0000 Zr

# 6
Zr2InAu2 | the Open Quantum Materials Database | GGA-PBE | relaxed; total moment = 0.00 μB per formula unit; E_tot = -115.83 eV/cell
1.0
7.6101 0.0000 0.0000
0.0000 7.6101 0.0000
0.0000 0.0000 7.1099
Au In Zr
8 4 8
Direct
0.6296 0.3704 0.2037 Au
0.3704 0.6296 0.2037 Au
0.1296 0.1296 0.2963 Au
0.8704 0.8704 0.2963 Au
0.1296 0.1296 0.7037 Au
0.8704 0.8704 0.7037 Au
0.6296 0.3704 0.7963 Au
0.3704 0.6296 0.7963 Au
0.5000 0.0000 0.2500 In
0.0000 0.5000 0.2500 In
0.5000 0.0000 0.7500 In
0.0000 0.5000 0.7500 In
0.8543 0.1457 0.0000 Zr
0.3028 0.3028 0.0000 Zr
0.6972 0.6972 0.0000 Zr
0.1457 0.8543 0.0000 Zr
0.8028 0.1972 0.5000 Zr
0.3543 0.3543 0.5000 Zr
0.6457 0.6457 0.5000 Zr
0.1972 0.8028 0.5000 Zr

# 7
ZrInAu2 | the Open Quantum Materials Database | GGA-PBE | relaxed; total moment = 0.01 μB per formula unit; E_tot = -35.15 eV/cell
1.0
2.4448 -4.2345 0.0000
2.4448 4.2345 0.0000
0.0000 0.0000 8.2361
Au In Zr
4 2 2
Direct
0.3333 0.6667 0.0812 Au
0.3333 0.6667 0.4188 Au
0.6667 0.3333 0.5812 Au
0.6667 0.3333 0.9188 Au
0.6667 0.3333 0.2500 In
0.3333 0.6667 0.7500 In
0.0000 0.0000 0.2500 Zr
0.0000 0.0000 0.7500 Zr

# 8
ZrInAu2 | the Open Quantum Materials Database | GGA-PBE | relaxed; total moment = 0.00 μB per formula unit; E_tot = -117.77 eV/cell
1.0
4.8673 0.0000 0.0000
0.0000 6.8934 0.0000
0.0000 0.0000 14.5929
Au In Zr
12 6 6
Direct
0.5000 0.2500 0.0000 Au
0.5000 0.7500 0.0000 Au
0.9997 0.2499 0.1667 Au
0.9997 0.7501 0.1667 Au
0.4997 0.2501 0.3333 Au
0.4997 0.7499 0.3333 Au
0.0000 0.2500 0.5000 Au
0.0000 0.7500 0.5000 Au
0.5003 0.2501 0.6667 Au
0.5003 0.7499 0.6667 Au
0.0003 0.2499 0.8333 Au
0.0003 0.7501 0.8333 Au
0.0000 0.0000 0.0000 In
0.4997 0.5000 0.1666 In
0.9997 0.0000 0.3334 In
0.5000 0.5000 0.5000 In
0.0003 0.0000 0.6666 In
0.5003 0.5000 0.8334 In
0.0000 0.5000 0.0000 Zr
0.4999 0.0000 0.1667 Zr
0.9999 0.5000 0.3333 Zr
0.5000 0.0000 0.5000 Zr
0.0001 0.5000 0.6667 Zr
0.5001 0.0000 0.8333 Zr